(1)
# Li3MnAs

A geometry-optimized Li3MnAs structure (PBE, the Alexandria database).

The energy above the most stable polymorph in this dataset is 0.000 eV/f.u. The calculation puts the formation energy at 0.13 eV/atom.

It has space group Pm-3m (No. 221), with a = 4.7912 Å, b = 4.7912 Å, c = 4.7912 Å, α = 90.00°, β = 90.00° and γ = 90.00°. Symmetry generates all atoms from Li at (0.0000, 0.0000, 0.5000), Mn at (0.5000, 0.5000, 0.5000) and As at (0.0000, 0.0000, 0.0000).

(2)
# LiMn2As2

A geometry-optimized LiMn2As2 structure (PBE, the Alexandria database).

The energy above the most stable polymorph in this dataset is 0.000 eV/f.u. The calculation puts the formation energy at -0.28 eV/atom.

It has space group I4/mmm (No. 139), with a = 3.8175 Å, b = 3.8175 Å, c = 10.9036 Å, α = 90.00°, β = 90.00° and γ = 90.00°. Symmetry generates all atoms from Li at (0.0000, 0.0000, 0.0000), Mn at (0.0000, 0.5000, 0.2500) and As at (0.0000, 0.0000, 0.3817).

(3)
# LiMnAs2

A geometry-optimized LiMnAs2 structure (PBE, the Alexandria database).

The energy above the most stable polymorph in this dataset is 0.645 eV/f.u. The calculation puts the formation energy at -0.15 eV/atom.

It has space group P4/mmm (No. 123), with a = 4.2240 Å, b = 4.2240 Å, c = 3.6063 Å, α = 90.00°, β = 90.00° and γ = 90.00°. Symmetry generates all atoms from Li at (0.0000, 0.0000, 0.0000), Mn at (0.5000, 0.5000, 0.0000) and As at (0.0000, 0.5000, 0.5000).

(4)
# LiMnAs3

A geometry-optimized LiMnAs3 structure (PBE, the Alexandria database).

The energy above the most stable polymorph in this dataset is 0.000 eV/f.u. The calculation puts the formation energy at 0.14 eV/atom.

It has space group Pm-3m (No. 221), with a = 4.7057 Å, b = 4.7057 Å, c = 4.7057 Å, α = 90.00°, β = 90.00° and γ = 90.00°. Symmetry generates all atoms from Li at (0.0000, 0.0000, 0.0000), Mn at (0.5000, 0.5000, 0.5000) and As at (0.0000, 0.5000, 0.5000).

Number 1: raw total energy -18.9 eV for the cell shown, V 22.0 A^3/atom. Number 2: raw total energy -61.9 eV for the cell shown, V 15.9 A^3/atom. Number 3: raw total energy -21.0 eV for the cell shown, V 16.1 A^3/atom. Number 4: raw total energy -24.3 eV for the cell shown, V 20.8 A^3/atom.